# 1
{"formula": "ErAl4Pd2", "functional": "GGA-PBE", "state": "relaxed", "cell": [[4.127, 0.000, 0.000], [0.000, 7.728, 0.000], [0.000, 0.000, 7.728]], "species": ["Al", "Al", "Al", "Al", "Pd", "Er", "Pd", "Al", "Pd", "Er", "Al", "Al", "Al", "Pd"], "fractional_positions": [[0.000, 0.086, 0.336], [0.000, 0.914, 0.664], [0.500, 0.586, 0.164], [0.500, 0.414, 0.836], [0.000, 0.219, 0.781], [0.500, 0.000, 0.000], [0.500, 0.719, 0.719], [0.500, 0.164, 0.586], [0.500, 0.281, 0.281], [0.000, 0.500, 0.500], [0.500, 0.836, 0.414], [0.000, 0.664, 0.914], [0.000, 0.336, 0.086], [0.000, 0.781, 0.219]], "e_form_mev_per_atom": -690.9, "space_group": "P4_2/mnm", "vol_a3_per_cell": 246.5}


# 2
{"formula": "TaSn2As", "functional": "GGA-PBE", "state": "relaxed", "cell": [[6.421, 0.000, 0.000], [0.000, 6.421, 0.000], [3.210, 3.210, 6.166]], "species": ["As", "As", "Sn", "Sn", "Sn", "Ta", "Sn", "Ta"], "fractional_positions": [[0.500, 0.500, 0.000], [0.250, 0.750, 0.500], [0.622, 0.125, 0.250], [0.875, 0.872, 0.750], [0.375, 0.378, 0.750], [0.750, 0.250, 0.500], [0.128, 0.625, 0.250], [0.000, 0.000, 0.000]], "e_form_mev_per_atom": 818.8, "space_group": "I-42d", "vol_a3_per_cell": 254.2}


# 3
{"formula": "LaCo2S", "functional": "GGA-PBE", "state": "relaxed", "cell": [[-0.367, -1.185, 4.345], [3.757, -2.483, -0.360], [5.676, 3.913, 3.896]], "species": ["Co", "Co", "La", "Co", "S", "La", "S", "Co"], "fractional_positions": [[0.328, 0.625, 0.250], [0.375, 0.578, 0.750], [0.000, 0.000, 0.000], [0.422, 0.125, 0.250], [0.250, 0.750, 0.500], [0.750, 0.250, 0.500], [0.500, 0.500, 0.000], [0.875, 0.672, 0.750]], "space_group": "I-42d", "formation_energy_uncorrected_ev_per_fu": -2.237, "vol_a3_per_cell": 147.9}


# 4
{"formula": "YAsP2O", "functional": "GGA-PBE", "state": "relaxed", "cell": [[5.409, 0.000, 0.000], [0.000, 5.409, 0.000], [0.000, 0.000, 4.098]], "species": ["As", "O", "P", "P", "Y"], "fractional_positions": [[0.500, 0.500, 0.500], [0.000, 0.000, 0.500], [0.500, 0.000, 0.000], [0.000, 0.500, 0.000], [0.000, 0.000, 0.000]], "space_group": "P4/mmm", "formation_energy_uncorrected_ev_per_fu": 0.691, "vol_a3_per_cell": 119.9}